No. 1
# Na3Zn2Sb4 (GGA-PBE, relaxed)
data_Na3Zn2Sb4
_chemical_formula_sum 'Na6 Zn4 Sb8'
_symmetry_space_group_name_H-M 'C 1 2/m 1'
_symmetry_Int_Tables_number 12
_symmetry_space_group_name_Hall '-C 2y'
_cell_length_a 13.594
_cell_length_b 4.237
_cell_length_c 8.848
_cell_angle_alpha 90.00
_cell_angle_beta 106.39
_cell_angle_gamma 90.00
loop_
_atom_site_label
_atom_site_type_symbol
_atom_site_fract_x
_atom_site_fract_y
_atom_site_fract_z
Na1 Na 0.000 0.000 0.000
Na2 Na 0.106 0.500 0.683
Zn1 Zn 0.226 0.500 0.383
Sb1 Sb 0.097 0.000 0.377
Sb2 Sb 0.198 0.500 0.064
# Formation energy from raw total energies ... -242 meV per atom



No. 2
# Na2ZnSb2 (GGA-PBE, relaxed)
data_Na2ZnSb2
_chemical_formula_sum 'Na2 Zn1 Sb2'
_symmetry_space_group_name_H-M 'P 4/m m m'
_symmetry_Int_Tables_number 123
_symmetry_space_group_name_Hall '-P 4 2'
_cell_length_a 3.243
_cell_length_b 3.243
_cell_length_c 14.688
_cell_angle_alpha 90.00
_cell_angle_beta 90.00
_cell_angle_gamma 90.00
loop_
_atom_site_label
_atom_site_type_symbol
_atom_site_fract_x
_atom_site_fract_y
_atom_site_fract_z
Na1 Na 0.000 0.000 0.111
Zn1 Zn 0.000 0.000 0.500
Sb1 Sb 0.000 0.000 0.322
# Energy above the lowest structure with this stoichiometry ... 2.081 eV/f.u.
# Formation energy from raw total energies ... 123 meV per atom



No. 3
# NaZn2Sb2 (GGA-PBE, relaxed)
data_NaZn2Sb2
_chemical_formula_sum 'Na4 Zn8 Sb8'
_symmetry_space_group_name_H-M 'I 4 c m'
_symmetry_Int_Tables_number 108
_symmetry_space_group_name_Hall 'I 4 -2c'
_cell_length_a 8.266
_cell_length_b 8.266
_cell_length_c 7.605
_cell_angle_alpha 90.00
_cell_angle_beta 90.00
_cell_angle_gamma 90.00
loop_
_atom_site_label
_atom_site_type_symbol
_atom_site_fract_x
_atom_site_fract_y
_atom_site_fract_z
Na1 Na 0.000 0.000 0.000
Zn1 Zn 0.130 0.370 0.394
Sb1 Sb 0.165 0.335 0.740
# Energy above the lowest structure with this stoichiometry ... 0.048 eV/f.u.
# Formation energy from raw total energies ... -148 meV per atom